Record 1
Compound: LuHfNiIr
Source: the Alexandria database
Functional: GGA-PBE
Structure: optimized geometry

## Properties
space-group type = F-43m (216)

Geometry as CIF:
```
data_LuHfNiIr
_chemical_formula_sum 'Lu1 Hf1 Ni1 Ir1'
_symmetry_space_group_name_H-M 'P 1'
_symmetry_Int_Tables_number 1
_cell_length_a 4.646
_cell_length_b 4.646
_cell_length_c 4.646
_cell_angle_alpha 60.00
_cell_angle_beta 60.00
_cell_angle_gamma 60.00
loop_
_symmetry_equiv_pos_as_xyz
'x,y,z'
loop_
_atom_site_label
_atom_site_type_symbol
_atom_site_fract_x
_atom_site_fract_y
_atom_site_fract_z
_atom_site_occupancy
Lu1 Lu 0.000 0.000 0.000 1
Hf1 Hf 0.500 0.500 0.500 1
Ni1 Ni 0.250 0.250 0.250 1
Ir1 Ir 0.750 0.750 0.750 1
```

***

Record 2
Compound: LuHfIrPt
Source: the Alexandria database
Functional: GGA-PBE
Structure: optimized geometry

## Properties
space-group type = F-43m (216)

Geometry as CIF:
```
data_LuHfIrPt
_chemical_formula_sum 'Lu1 Hf1 Ir1 Pt1'
_symmetry_space_group_name_H-M 'P 1'
_symmetry_Int_Tables_number 1
_cell_length_a 4.734
_cell_length_b 4.734
_cell_length_c 4.734
_cell_angle_alpha 60.00
_cell_angle_beta 60.00
_cell_angle_gamma 60.00
loop_
_symmetry_equiv_pos_as_xyz
'x,y,z'
loop_
_atom_site_label
_atom_site_type_symbol
_atom_site_fract_x
_atom_site_fract_y
_atom_site_fract_z
_atom_site_occupancy
Lu1 Lu 0.000 0.000 0.000 1
Hf1 Hf 0.500 0.500 0.500 1
Ir1 Ir 0.750 0.750 0.750 1
Pt1 Pt 0.250 0.250 0.250 1
```

***

Record 3
Compound: LuHfIrRu
Source: the Alexandria database
Functional: GGA-PBE
Structure: optimized geometry

## Properties
space-group type = F-43m (216)

Geometry as CIF:
```
data_LuHfIrRu
_chemical_formula_sum 'Lu1 Hf1 Ir1 Ru1'
_symmetry_space_group_name_H-M 'P 1'
_symmetry_Int_Tables_number 1
_cell_length_a 4.660
_cell_length_b 4.660
_cell_length_c 4.660
_cell_angle_alpha 60.00
_cell_angle_beta 60.00
_cell_angle_gamma 60.00
loop_
_symmetry_equiv_pos_as_xyz
'x,y,z'
loop_
_atom_site_label
_atom_site_type_symbol
_atom_site_fract_x
_atom_site_fract_y
_atom_site_fract_z
_atom_site_occupancy
Lu1 Lu 0.000 0.000 0.000 1
Hf1 Hf 0.500 0.500 0.500 1
Ir1 Ir 0.750 0.750 0.750 1
Ru1 Ru 0.250 0.250 0.250 1
```

***

Record 4
Compound: LuHfTcIr
Source: the Alexandria database
Functional: GGA-PBE
Structure: optimized geometry

## Properties
space-group type = F-43m (216)

Geometry as CIF:
```
data_LuHfTcIr
_chemical_formula_sum 'Lu1 Hf1 Tc1 Ir1'
_symmetry_space_group_name_H-M 'P 1'
_symmetry_Int_Tables_number 1
_cell_length_a 4.664
_cell_length_b 4.664
_cell_length_c 4.664
_cell_angle_alpha 60.00
_cell_angle_beta 60.00
_cell_angle_gamma 60.00
loop_
_symmetry_equiv_pos_as_xyz
'x,y,z'
loop_
_atom_site_label
_atom_site_type_symbol
_atom_site_fract_x
_atom_site_fract_y
_atom_site_fract_z
_atom_site_occupancy
Lu1 Lu 0.000 0.000 0.000 1
Hf1 Hf 0.500 0.500 0.500 1
Tc1 Tc 0.250 0.250 0.250 1
Ir1 Ir 0.750 0.750 0.750 1
```

***

Record 5
Compound: LuHfZnIr
Source: the Alexandria database
Functional: GGA-PBE
Structure: optimized geometry

## Properties
space-group type = F-43m (216)

Geometry as CIF:
```
data_LuHfZnIr
_chemical_formula_sum 'Lu1 Hf1 Zn1 Ir1'
_symmetry_space_group_name_H-M 'P 1'
_symmetry_Int_Tables_number 1
_cell_length_a 4.741
_cell_length_b 4.741
_cell_length_c 4.741
_cell_angle_alpha 60.00
_cell_angle_beta 60.00
_cell_angle_gamma 60.00
loop_
_symmetry_equiv_pos_as_xyz
'x,y,z'
loop_
_atom_site_label
_atom_site_type_symbol
_atom_site_fract_x
_atom_site_fract_y
_atom_site_fract_z
_atom_site_occupancy
Lu1 Lu 0.000 0.000 0.000 1
Hf1 Hf 0.500 0.500 0.500 1
Zn1 Zn 0.750 0.750 0.750 1
Ir1 Ir 0.250 0.250 0.250 1
```

***

Record 6
Compound: HfMg2Ir2
Source: the Alexandria database
Functional: GGA-PBE
Structure: optimized geometry

## Properties
energy relative to the lowest polymorph listed for this composition = 0.33 eV per formula unit
space-group type = P4/mbm (127)

Geometry as CIF:
```
data_HfMg2Ir2
_chemical_formula_sum 'Hf2 Mg4 Ir4'
_symmetry_space_group_name_H-M 'P 1'
_symmetry_Int_Tables_number 1
_cell_length_a 7.509
_cell_length_b 7.509
_cell_length_c 2.958
_cell_angle_alpha 90.00
_cell_angle_beta 90.00
_cell_angle_gamma 90.00
loop_
_symmetry_equiv_pos_as_xyz
'x,y,z'
loop_
_atom_site_label
_atom_site_type_symbol
_atom_site_fract_x
_atom_site_fract_y
_atom_site_fract_z
_atom_site_occupancy
Hf1 Hf 0.000 0.000 0.000 1
Hf2 Hf 0.500 0.500 0.000 1
Mg1 Mg 0.120 0.380 0.000 1
Mg2 Mg 0.380 0.880 0.000 1
Mg3 Mg 0.620 0.120 0.000 1
Mg4 Mg 0.880 0.620 0.000 1
Ir1 Ir 0.181 0.681 0.500 1
Ir2 Ir 0.319 0.181 0.500 1
Ir3 Ir 0.681 0.819 0.500 1
Ir4 Ir 0.819 0.319 0.500 1
```

***

Record 7
Compound: HfMg2Ir2
Source: the Alexandria database
Functional: GGA-PBE
Structure: optimized geometry

## Properties
energy relative to the lowest polymorph listed for this composition = 0.58 eV per formula unit
space-group type = I4/mmm (139)

Geometry as CIF:
```
data_HfMg2Ir2
_chemical_formula_sum 'Hf1 Mg2 Ir2'
_symmetry_space_group_name_H-M 'P 1'
_symmetry_Int_Tables_number 1
_cell_length_a 7.144
_cell_length_b 7.144
_cell_length_c 7.144
_cell_angle_alpha 150.34
_cell_angle_beta 150.34
_cell_angle_gamma 42.44
loop_
_symmetry_equiv_pos_as_xyz
'x,y,z'
loop_
_atom_site_label
_atom_site_type_symbol
_atom_site_fract_x
_atom_site_fract_y
_atom_site_fract_z
_atom_site_occupancy
Hf1 Hf 0.000 0.000 0.000 1
Mg1 Mg 0.250 0.750 0.500 1
Mg2 Mg 0.750 0.250 0.500 1
Ir1 Ir 0.400 0.400 0.000 1
Ir2 Ir 0.600 0.600 0.000 1
```

***

Record 8
Compound: HfMg2Ir2
Source: the Alexandria database
Functional: GGA-PBE
Structure: optimized geometry

## Properties
energy relative to the lowest polymorph listed for this composition = 0.00 eV per formula unit
space-group type = P4/mbm (127)

Geometry as CIF:
```
data_HfMg2Ir2
_chemical_formula_sum 'Hf2 Mg4 Ir4'
_symmetry_space_group_name_H-M 'P 1'
_symmetry_Int_Tables_number 1
_cell_length_a 7.405
_cell_length_b 7.405
_cell_length_c 3.140
_cell_angle_alpha 90.00
_cell_angle_beta 90.00
_cell_angle_gamma 90.00
loop_
_symmetry_equiv_pos_as_xyz
'x,y,z'
loop_
_atom_site_label
_atom_site_type_symbol
_atom_site_fract_x
_atom_site_fract_y
_atom_site_fract_z
_atom_site_occupancy
Hf1 Hf 0.000 0.000 0.000 1
Hf2 Hf 0.500 0.500 0.000 1
Mg1 Mg 0.137 0.363 0.500 1
Mg2 Mg 0.363 0.863 0.500 1
Mg3 Mg 0.637 0.137 0.500 1
Mg4 Mg 0.863 0.637 0.500 1
Ir1 Ir 0.161 0.661 0.000 1
Ir2 Ir 0.339 0.161 0.000 1
Ir3 Ir 0.661 0.839 0.000 1
Ir4 Ir 0.839 0.339 0.000 1
```

***

Record 9
Compound: HfMg3Ir
Source: the Alexandria database
Functional: GGA-PBE
Structure: optimized geometry

## Properties
energy relative to the lowest polymorph listed for this composition = 0.00 eV per formula unit
space-group type = Pm-3m (221)

Geometry as CIF:
```
data_HfMg3Ir
_chemical_formula_sum 'Hf1 Mg3 Ir1'
_symmetry_space_group_name_H-M 'P 1'
_symmetry_Int_Tables_number 1
_cell_length_a 4.862
_cell_length_b 4.862
_cell_length_c 4.862
_cell_angle_alpha 90.00
_cell_angle_beta 90.00
_cell_angle_gamma 90.00
loop_
_symmetry_equiv_pos_as_xyz
'x,y,z'
loop_
_atom_site_label
_atom_site_type_symbol
_atom_site_fract_x
_atom_site_fract_y
_atom_site_fract_z
_atom_site_occupancy
Hf1 Hf 0.000 0.000 0.000 1
Mg1 Mg 0.000 0.500 0.500 1
Mg2 Mg 0.500 0.000 0.500 1
Mg3 Mg 0.500 0.500 0.000 1
Ir1 Ir 0.500 0.500 0.500 1
```

***

Record 10
Compound: HfMg2Ir
Source: the Alexandria database
Functional: GGA-PBE
Structure: optimized geometry

## Properties
energy relative to the lowest polymorph listed for this composition = 0.00 eV per formula unit
space-group type = Fm-3m (225)

Geometry as CIF:
```
data_HfMg2Ir
_chemical_formula_sum 'Hf1 Mg2 Ir1'
_symmetry_space_group_name_H-M 'P 1'
_symmetry_Int_Tables_number 1
_cell_length_a 4.627
_cell_length_b 4.627
_cell_length_c 4.627
_cell_angle_alpha 60.00
_cell_angle_beta 60.00
_cell_angle_gamma 60.00
loop_
_symmetry_equiv_pos_as_xyz
'x,y,z'
loop_
_atom_site_label
_atom_site_type_symbol
_atom_site_fract_x
_atom_site_fract_y
_atom_site_fract_z
_atom_site_occupancy
Hf1 Hf 0.000 0.000 0.000 1
Mg1 Mg 0.250 0.250 0.250 1
Mg2 Mg 0.750 0.750 0.750 1
Ir1 Ir 0.500 0.500 0.500 1
```

***

Record 11
Compound: Hf2MgIr
Source: the Alexandria database
Functional: GGA-PBE
Structure: optimized geometry

## Properties
space-group type = I-42d (122)

Geometry as CIF:
```
data_Hf2MgIr
_chemical_formula_sum 'Hf4 Mg2 Ir2'
_symmetry_space_group_name_H-M 'P 1'
_symmetry_Int_Tables_number 1
_cell_length_a 6.232
_cell_length_b 6.232
_cell_length_c 6.232
_cell_angle_alpha 102.06
_cell_angle_beta 102.06
_cell_angle_gamma 125.59
loop_
_symmetry_equiv_pos_as_xyz
'x,y,z'
loop_
_atom_site_label
_atom_site_type_symbol
_atom_site_fract_x
_atom_site_fract_y
_atom_site_fract_z
_atom_site_occupancy
Hf1 Hf 0.067 0.625 0.942 1
Hf2 Hf 0.375 0.317 0.442 1
Hf3 Hf 0.683 0.125 0.058 1
Hf4 Hf 0.875 0.933 0.558 1
Mg1 Mg 0.250 0.750 0.500 1
Mg2 Mg 0.500 0.500 0.000 1
Ir1 Ir 0.000 0.000 0.000 1
Ir2 Ir 0.750 0.250 0.500 1
```

***

Record 12
Compound: Hf2MgIr
Source: the Alexandria database
Functional: GGA-PBE
Structure: optimized geometry

## Properties
space-group type = P4/mmm (123)

Geometry as CIF:
```
data_Hf2MgIr
_chemical_formula_sum 'Hf2 Mg1 Ir1'
_symmetry_space_group_name_H-M 'P 1'
_symmetry_Int_Tables_number 1
_cell_length_a 4.576
_cell_length_b 4.576
_cell_length_c 3.575
_cell_angle_alpha 90.00
_cell_angle_beta 90.00
_cell_angle_gamma 90.00
loop_
_symmetry_equiv_pos_as_xyz
'x,y,z'
loop_
_atom_site_label
_atom_site_type_symbol
_atom_site_fract_x
_atom_site_fract_y
_atom_site_fract_z
_atom_site_occupancy
Hf1 Hf 0.000 0.500 0.000 1
Hf2 Hf 0.500 0.000 0.000 1
Mg1 Mg 0.000 0.000 0.500 1
Ir1 Ir 0.500 0.500 0.500 1
```

***

Record 13
Compound: Hf5MgIr6
Source: the Alexandria database
Functional: GGA-PBE
Structure: optimized geometry

## Properties
space-group type = Immm (71)

Geometry as CIF:
```
data_Hf5MgIr6
_chemical_formula_sum 'Hf5 Mg1 Ir6'
_symmetry_space_group_name_H-M 'P 1'
_symmetry_Int_Tables_number 1
_cell_length_a 7.815
_cell_length_b 7.815
_cell_length_c 7.815
_cell_angle_alpha 147.34
_cell_angle_beta 125.78
_cell_angle_gamma 64.76
loop_
_symmetry_equiv_pos_as_xyz
'x,y,z'
loop_
_atom_site_label
_atom_site_type_symbol
_atom_site_fract_x
_atom_site_fract_y
_atom_site_fract_z
_atom_site_occupancy
Hf1 Hf 0.000 0.000 0.000 1
Hf2 Hf 0.168 0.668 0.500 1
Hf3 Hf 0.340 0.340 0.000 1
Hf4 Hf 0.660 0.660 0.000 1
Hf5 Hf 0.832 0.332 0.500 1
Mg1 Mg 0.500 0.000 0.500 1
Ir1 Ir 0.082 0.832 0.250 1
Ir2 Ir 0.246 0.500 0.746 1
Ir3 Ir 0.417 0.168 0.250 1
Ir4 Ir 0.583 0.832 0.750 1
Ir5 Ir 0.754 0.500 0.254 1
Ir6 Ir 0.918 0.168 0.750 1
```

***

Calculated calculated total energy in order - -31.991, -33.420, -36.023, -36.415, -26.971, -65.039, -32.269, -65.705, -21.409, -22.217, -61.317, -31.843, -115.133 eV per cell
Calculated E_form in order - -719, -1011, -853, -678, -590, -331, -281, -398, 438, -53, -74, -370, -884 meV per atom
Calculated size of the total moment in order - 0.0, 0.0, 0.0, 0.0, 0.0, 0.0, 0.0, 0.0, 0.0, 0.0, 0.0, 0.0, 0.0 Bohr magnetons per cell